Material: ScTl2CuRe
Method: DFT, meta-GGA SCAN
State: PBEsol geometry

Cell: 4.5609 5.3502 5.3502 Å, 90.00 90.00 90.00°
Each line ends with the local moment (μB).
Atoms (fractional coordinates):
Tl1 0.0000 0.5000 0.0000  -0.08
Tl2 0.0000 0.0000 0.5000  -0.08
Cu1 0.5000 0.0000 0.0000  0.00
Sc1 0.0000 0.0000 0.0000  -0.39
Re1 0.5000 0.5000 0.5000  3.32

Results
formation energy from the elements: 1.8117 eV/atom
electronic total energy: -47.238 eV/atom
DOS(E_F): 0.746 states/eV per atom